This record from Alexandria via LeMat-Bulk describes Mg3Ga4Cu2 after structural relaxation. The functional is GGA-PBE.

The density of states at the Fermi level comes out at 0.306 states/eV/atom. As for the energy above the most stable polymorph in this dataset: 0.000 eV per atom. The value obtained for the formation energy is -13.73 kJ per mole of atoms.

Lattice parameters (Å, degrees): 9.928 4.415 8.066 90.00 119.70 90.00
Space group C2/m (No. 12)
Unique sites:
Mg: 0.000 0.000 0.000 (multiplicity 2)
Mg: 0.164 0.500 0.670 (multiplicity 4)
Ga: 0.079 0.000 0.406 (multiplicity 4)
Ga: 0.194 0.500 0.036 (multiplicity 4)
Cu: 0.109 0.500 0.278 (multiplicity 4)



This record from Alexandria via LeMat-Bulk describes Os3BrCl after structural relaxation. The functional is GGA-PBE.

The density of states at the Fermi level comes out at 2.211 states/eV/atom. As for the energy above the most stable polymorph in this dataset: 0.000 eV per atom. The value obtained for the formation energy (no corrections) is 2.51 eV/atom.

Lattice parameters (Å, degrees): 4.458 4.458 4.458 90.00 90.00 90.00
Space group Pm-3m (No. 221)
Unique sites:
Os: 0.000 0.000 0.500 (multiplicity 3)
Br: 0.500 0.500 0.500 (multiplicity 1)
Cl: 0.000 0.000 0.000 (multiplicity 1)



This record from Alexandria via LeMat-Bulk describes BaZnHgF6 after structural relaxation. The functional is GGA-PBE.

The density of states at the Fermi level comes out at 0.000 states/eV/atom. The value obtained for the formation energy (no corrections) is -2.53 eV/atom.

Lattice parameters (Å, degrees): 5.8361 5.8361 5.5236 90.00 90.00 120.00
Space group P312 (No. 149)
Unique sites:
Ba: 0.0000 0.0000 0.0000 (multiplicity 1)
Zn: 0.6667 0.3333 0.5000 (multiplicity 1)
Hg: 0.3333 0.6667 0.5000 (multiplicity 1)
F: 0.3797 0.0341 0.7127 (multiplicity 6)



This record from Alexandria via LeMat-Bulk describes NaNd3Se2Cl6 after structural relaxation. The functional is GGA-PBE.

The density of states at the Fermi level comes out at 0.000 states/eV/atom. The value obtained for the formation energy (no corrections) is -2.01 eV/atom.

Lattice parameters (Å, degrees): 14.201 8.406 6.283 90.00 91.30 90.00
Space group C2/m (No. 12)
Unique sites:
Na: 0.000 0.000 0.000 (multiplicity 2)
Nd: 0.000 0.500 0.500 (multiplicity 2)
Nd: 0.250 0.250 0.000 (multiplicity 4)
Se: 0.171 0.500 0.257 (multiplicity 4)
Cl: 0.082 0.254 0.750 (multiplicity 8)
Cl: 0.168 0.000 0.224 (multiplicity 4)